No. 1
Computed, not measured: crystalline CsBeV3 at its relaxed geometry at the GGA-PBE level of DFT.

abc: 4.701 4.701 4.701
angles: 90.00 90.00 90.00
Fractional coordinates of all 5 atoms:
Cs1 0.000 0.000 0.000
Be1 0.500 0.500 0.500
V1 0.000 0.000 0.500
V2 0.000 0.500 0.000
V3 0.500 0.000 0.000

## Properties
Formation enthalpy at 0 K (eV per atom): 2.816
Symmetry: Pm-3m, No. 221
V (Å³/cell): 103.9
Uncorrected energy (eV/cell): -17.85

No. 2
Computed, not measured: crystalline CsBeV at its relaxed geometry at the GGA-PBE level of DFT.

abc: 5.016 5.016 5.016
angles: 60.00 60.00 60.00
Fractional coordinates of all 3 atoms:
Cs1 0.000 0.000 0.000
Be1 0.500 0.500 0.500
V1 0.750 0.750 0.750

## Properties
Formation enthalpy at 0 K (eV per atom): 1.864
Symmetry: F-43m, No. 216
V (Å³/cell): 89.2
Uncorrected energy (eV/cell): -8.11

No. 3
Computed, not measured: crystalline CsBe3V at its relaxed geometry at the GGA-PBE level of DFT.

abc: 4.882 4.882 4.882
angles: 90.00 90.00 90.00
Fractional coordinates of all 5 atoms:
Cs1 0.000 0.000 0.000
Be1 0.000 0.500 0.500
Be2 0.500 0.000 0.500
Be3 0.500 0.500 0.000
V1 0.500 0.500 0.500

## Properties
Formation enthalpy at 0 K (eV per atom): 1.380
Symmetry: Pm-3m, No. 221
V (Å³/cell): 116.4
Uncorrected energy (eV/cell): -14.25

No. 4
Computed, not measured: crystalline CsBeV at its relaxed geometry at the GGA-PBE level of DFT.

abc: 3.377 3.607 12.539
angles: 90.00 96.42 90.00
Fractional coordinates of all 6 atoms:
Cs1 0.118 0.000 0.191
Cs2 0.882 0.000 0.809
Be1 0.276 0.500 0.561
Be2 0.724 0.500 0.439
V1 0.222 0.000 0.431
V2 0.778 0.000 0.569

## Properties
Formation enthalpy at 0 K (eV per atom): 0.497
Symmetry: P2/m, No. 10
V (Å³/cell): 151.8
Uncorrected energy (eV/cell): -24.41

No. 5
Computed, not measured: crystalline CsBeV at its relaxed geometry at the GGA-PBE level of DFT.

abc: 5.148 5.148 8.045
angles: 90.00 90.00 120.00
Fractional coordinates of all 6 atoms:
Cs1 0.000 0.000 0.000
Cs2 0.000 0.000 0.500
Be1 0.667 0.333 0.138
Be2 0.667 0.333 0.862
V1 0.333 0.667 0.115
V2 0.333 0.667 0.885

## Properties
Formation enthalpy at 0 K (eV per atom): 1.413
Symmetry: P-6m2, No. 187
V (Å³/cell): 184.7
Uncorrected energy (eV/cell): -18.92

No. 6
Computed, not measured: crystalline CsBe3W at its relaxed geometry at the GGA-PBE level of DFT.

abc: 4.556 4.556 4.556
angles: 90.00 90.00 90.00
Fractional coordinates of all 5 atoms:
Cs1 0.000 0.000 0.000
Be1 0.000 0.000 0.500
Be2 0.000 0.500 0.000
Be3 0.500 0.000 0.000
W1 0.500 0.500 0.500

## Properties
Formation enthalpy at 0 K (eV per atom): 3.209
Symmetry: Pm-3m, No. 221
V (Å³/cell): 94.6
Uncorrected energy (eV/cell): -8.94

No. 7
Computed, not measured: crystalline CsBeW2 at its relaxed geometry at the GGA-PBE level of DFT.

abc: 9.666 9.666 9.666
angles: 154.21 154.21 36.79
Fractional coordinates of all 8 atoms:
Cs1 0.000 0.000 0.000
Cs2 0.750 0.250 0.500
Be1 0.250 0.750 0.500
Be2 0.500 0.500 0.000
W1 0.219 0.125 0.594
W2 0.375 0.781 0.906
W3 0.531 0.625 0.406
W4 0.875 0.469 0.094

## Properties
Formation enthalpy at 0 K (eV per atom): 2.010
Symmetry: I-42d, No. 122
V (Å³/cell): 170.7
Uncorrected energy (eV/cell): -44.89

No. 8
Computed, not measured: crystalline CsBe3W at its relaxed geometry at the GGA-PBE level of DFT.

abc: 4.837 4.837 4.837
angles: 90.00 90.00 90.00
Fractional coordinates of all 5 atoms:
Cs1 0.000 0.000 0.000
Be1 0.000 0.500 0.500
Be2 0.500 0.000 0.500
Be3 0.500 0.500 0.000
W1 0.500 0.500 0.500

## Properties
Formation enthalpy at 0 K (eV per atom): 1.485
Symmetry: Pm-3m, No. 221
V (Å³/cell): 113.1
Uncorrected energy (eV/cell): -17.56